No. 1
# SbMo2C | Alexandria via LeMat-Bulk | PBE | optimized geometry
# offset from the most stable computed form = 0.000 eV per atom
# raw formation energy = 714 meV per atom
# total moment = 1.06 μB per formula unit
# density = 7.10 g/cm³
data_SbMo2C
_cell_length_a 5.148
_cell_length_b 5.148
_cell_length_c 11.502
_cell_angle_alpha 90.00
_cell_angle_beta 90.00
_cell_angle_gamma 90.00
_symmetry_space_group_name_H-M 'I -4 2 d'
_symmetry_Int_Tables_number 122
_symmetry_space_group_name_Hall 'I -4 2bw'
loop_
_atom_site_label
_atom_site_fract_x
_atom_site_fract_y
_atom_site_fract_z
Sb1 0.000 0.000 0.000
Mo1 0.116 0.250 0.625
C1 0.000 0.000 0.500

No. 2
# LaIn2Ru | Alexandria via LeMat-Bulk | PBE | optimized geometry
# formation energy = -250 meV/atom
# total moment = 0.00 μB per formula unit
# density = 7.76 g/cm³
data_LaIn2Ru
_cell_length_a 9.383
_cell_length_b 4.353
_cell_length_c 6.021
_cell_angle_alpha 90.00
_cell_angle_beta 125.24
_cell_angle_gamma 90.00
_symmetry_space_group_name_H-M 'C 1 m 1'
_symmetry_Int_Tables_number 8
_symmetry_space_group_name_Hall 'C -2y'
loop_
_atom_site_label
_atom_site_fract_x
_atom_site_fract_y
_atom_site_fract_z
La1 0.000 0.000 0.000
In1 0.182 0.000 0.664
In2 0.424 0.000 0.360
Ru1 0.287 0.500 0.490

No. 3
# K2YAgF6 | Alexandria via LeMat-Bulk | PBE | optimized geometry
# offset from the most stable computed form = 0.049 eV per atom
# raw formation energy = -2912 meV per atom
# total moment = 0.05 μB per formula unit
# density = 3.31 g/cm³
data_K2YAgF6
_cell_length_a 9.205
_cell_length_b 9.205
_cell_length_c 9.205
_cell_angle_alpha 90.00
_cell_angle_beta 90.00
_cell_angle_gamma 90.00
_symmetry_space_group_name_H-M 'F m -3 m'
_symmetry_Int_Tables_number 225
_symmetry_space_group_name_Hall '-F 4 2 3'
loop_
_atom_site_label
_atom_site_fract_x
_atom_site_fract_y
_atom_site_fract_z
K1 0.250 0.250 0.250
Y1 0.000 0.000 0.000
Ag1 0.000 0.000 0.500
F1 0.000 0.000 0.236

No. 4
# HfPaCd | Alexandria via LeMat-Bulk | PBE | optimized geometry
# offset from the most stable computed form = 0.000 eV per atom
# formation energy = 7 meV/atom
# total moment = 0.00 μB per formula unit
# density = 12.66 g/cm³
data_HfPaCd
_cell_length_a 3.104
_cell_length_b 3.104
_cell_length_c 14.218
_cell_angle_alpha 90.00
_cell_angle_beta 90.00
_cell_angle_gamma 90.00
_symmetry_space_group_name_H-M 'P 4/n m m'
_symmetry_Int_Tables_number 129
loop_
_symmetry_equiv_pos_as_xyz
'x,y,z'
'-x,-y,-z'
'-y+1/2,x,z'
'y+1/2,-x,-z'
'-x+1/2,-y+1/2,z'
'x+1/2,y+1/2,-z'
'y,-x+1/2,z'
'-y,x+1/2,-z'
'x+1/2,-y,-z'
'-x+1/2,y,z'
'-y,-x,-z'
'y,x,z'
'-x,y+1/2,-z'
'x,-y+1/2,z'
'y+1/2,x+1/2,-z'
'-y+1/2,-x+1/2,z'
loop_
_atom_site_label
_atom_site_fract_x
_atom_site_fract_y
_atom_site_fract_z
Hf1 0.250 0.250 0.239
Pa1 0.250 0.250 0.591
Cd1 0.250 0.250 0.921